VASP calculation (PBE) on a relaxed structure of SiBiTe2.

excess energy over the best structure of this formula in the dataset = 0.000 eV/atom
crystal system = trigonal
SG = No. 166
energy relative to the elements, uncorrected = 0.1195 eV/atom

Cell lengths 9.679, 9.679, 9.679 Å; angles 23.16, 23.16, 23.16 degrees
Atoms (fractional coordinates):
Bi1 0.000 0.000 0.000
Te1 0.890 0.890 0.890
Te2 0.110 0.110 0.110
Si1 0.500 0.500 0.500

=====

VASP calculation (PBE) on a relaxed structure of Ce2SnN.

crystal system = trigonal
SG = No. 166
energy relative to the elements, uncorrected = -0.9835 eV/atom

Cell lengths 3.553, 3.553, 8.417 Å; angles 77.81, 77.81, 60.00 degrees
Each line ends with the local moment (μB).
Atoms (fractional coordinates):
N1 0.500 0.500 0.500  -0.01
Ce1 0.776 0.776 0.672  0.24
Ce2 0.224 0.224 0.328  0.24
Sn1 0.000 0.000 0.000  -0.01

=====

VASP calculation (PBE) on a relaxed structure of Li10ZnP4S16.

excess energy over the best structure of this formula in the dataset = 0.000 eV/atom
crystal system = triclinic
SG = No. 1
energy relative to the elements, uncorrected = -0.8650 eV/atom

Cell lengths 6.177, 7.778, 13.084 Å; angles 89.57, 89.93, 89.96 degrees
Atoms (fractional coordinates):
P1 0.998 0.001 0.096
P2 0.005 0.993 0.586
P3 0.500 0.496 0.911
P4 0.492 0.513 0.408
Li1 0.988 0.480 0.079
Li2 0.508 0.749 0.659
Li3 0.487 0.997 0.929
Li4 0.500 0.254 0.165
Li5 0.490 0.036 0.421
Li6 0.494 0.740 0.159
Li7 0.993 0.235 0.841
Li8 0.000 0.749 0.841
Li9 0.994 0.485 0.562
Li10 0.494 0.257 0.658
S1 0.332 0.999 0.098
S2 0.337 0.000 0.592
S3 0.355 0.310 0.337
S4 0.393 0.715 0.838
S5 0.900 0.772 0.657
S6 0.397 0.509 0.558
S7 0.892 0.773 0.169
S8 0.886 0.989 0.948
S9 0.901 0.014 0.435
S10 0.891 0.206 0.175
S11 0.887 0.209 0.658
S12 0.833 0.492 0.908
S13 0.389 0.494 0.059
S14 0.827 0.500 0.390
S15 0.382 0.742 0.340
S16 0.388 0.280 0.837
Zn1 0.992 0.763 0.346

=====

VASP calculation (PBE) on a relaxed structure of AlP4Cl.

excess energy over the best structure of this formula in the dataset = 0.181 eV/atom
crystal system = triclinic
SG = No. 2
energy relative to the elements, uncorrected = -0.0904 eV/atom

Cell lengths 6.583, 8.127, 9.636 Å; angles 86.66, 118.90, 65.50 degrees
Atoms (fractional coordinates):
P1 0.414 0.062 0.570
P2 0.919 0.974 0.213
P3 0.586 0.938 0.430
P4 0.081 0.026 0.787
P5 0.992 0.903 0.583
P6 0.008 0.097 0.417
P7 0.054 0.075 0.092
P8 0.946 0.925 0.908
Al1 0.937 0.609 0.582
Al2 0.063 0.391 0.418
Cl1 0.932 0.515 0.169
Cl2 0.068 0.485 0.831

=====

VASP calculation (PBE) on a relaxed structure of K2SrSb.

crystal system = orthorhombic
SG = No. 44
energy relative to the elements, uncorrected = -0.2905 eV/atom

Cell lengths 6.067, 6.067, 6.067 Å; angles 120.01, 119.91, 90.07 degrees
Atoms (fractional coordinates):
Sb1 0.500 0.500 0.000
Sr1 0.250 0.750 0.500
K1 0.000 0.000 0.000
K2 0.750 0.250 0.500

=====

VASP calculation (PBE) on a relaxed structure of CaScAgTe3.

crystal system = monoclinic
SG = No. 11
energy relative to the elements, uncorrected = -1.0673 eV/atom

Cell lengths 4.227, 8.242, 10.034 Å; angles 104.07, 90.00, 90.00 degrees
Atoms (fractional coordinates):
Ca1 0.250 0.213 0.273
Ca2 0.750 0.787 0.727
Te1 0.750 0.918 0.136
Te2 0.250 0.710 0.471
Te3 0.750 0.424 0.139
Te4 0.250 0.576 0.861
Te5 0.250 0.082 0.864
Te6 0.750 0.290 0.529
Sc1 0.750 0.319 0.828
Sc2 0.250 0.681 0.172
Ag1 0.250 0.085 0.589
Ag2 0.750 0.915 0.411

=====

VASP calculation (PBE) on a relaxed structure of Zr2ZnHW.

final energy = -35.2 eV per cell
crystal system = tetragonal
SG = No. 123

Cell lengths 4.553, 4.553, 3.757 Å; angles 90.00, 90.00, 90.00 degrees
Atoms (fractional coordinates):
H1 0.000 0.000 0.000
Zr1 0.500 0.000 0.000
Zr2 0.000 0.500 0.000
W1 0.000 0.000 0.500
Zn1 0.500 0.500 0.500

=====

VASP calculation (PBE) on a relaxed structure of CdCuPt.

excess energy over the best structure of this formula in the dataset = 0.180 eV/atom
crystal system = triclinic
SG = No. 2
energy of formation from the pure elements = 0.007 eV per atom

Cell lengths 5.091, 2.916, 4.637 Å; angles 90.40, 81.18, 54.80 degrees
Atoms (fractional coordinates):
Cu1 0.000 0.500 0.000
Pt1 0.500 0.500 0.000
Cd1 0.000 0.000 0.500

=====

VASP calculation (PBE) on a relaxed structure of EuMgTlPt.

crystal system = cubic
SG = No. 216
energy of formation from the pure elements = -0.448 eV per atom

Cell lengths 5.073, 5.073, 5.073 Å; angles 60.00, 60.00, 60.00 degrees
Each line ends with the local moment (μB).
Atoms (fractional coordinates):
Pt1 0.750 0.750 0.750  -0.05
Eu1 0.500 0.500 0.500  6.71
Tl1 0.250 0.250 0.250  -0.01
Mg1 0.000 0.000 0.000  -0.01

=====

VASP calculation (PBE) on a relaxed structure of Nd2SmTm3Te6.

crystal system = monoclinic
SG = No. 12
energy relative to the elements, uncorrected = -1.2982 eV/atom

Cell lengths 4.319, 8.941, 9.911 Å; angles 105.44, 102.58, 90.00 degrees
Atoms (fractional coordinates):
Tm1 0.832 0.166 0.664
Tm2 0.500 0.500 0.000
Tm3 0.168 0.834 0.336
Nd1 0.167 0.334 0.335
Nd2 0.833 0.666 0.665
Te1 0.004 0.743 0.008
Te2 0.662 0.593 0.325
Te3 0.331 0.927 0.662
Te4 0.338 0.407 0.675
Te5 0.996 0.257 0.992
Te6 0.669 0.073 0.338
Sm1 0.500 0.000 0.000

=====

VASP calculation (PBE) on a relaxed structure of Sm8AlSn2.

crystal system = monoclinic
SG = No. 12
energy of formation from the pure elements = -0.328 eV per atom

Cell lengths 5.214, 6.860, 10.092 Å; angles 104.44, 104.97, 90.00 degrees
Atoms (fractional coordinates):
Sm1 0.015 0.774 0.030
Sm2 0.344 0.003 0.688
Sm3 0.409 0.526 0.818
Sm4 0.656 0.997 0.312
Sm5 0.786 0.683 0.573
Sm6 0.985 0.226 0.970
Sm7 0.591 0.474 0.182
Sm8 0.214 0.317 0.427
Sn1 0.178 0.752 0.357
Sn2 0.822 0.248 0.643
Al1 0.500 0.000 0.000

=====

VASP calculation (PBE) on a relaxed structure of NaTlGe2Br6.

crystal system = monoclinic
SG = No. 15
energy relative to the elements, uncorrected = -0.7936 eV/atom

Cell lengths 8.817, 10.131, 10.131 Å; angles 89.02, 71.63, 71.63 degrees
Atoms (fractional coordinates):
Ge1 0.748 0.187 0.448
Ge2 0.252 0.813 0.552
Ge3 0.248 0.448 0.187
Ge4 0.752 0.552 0.813
Na1 0.750 0.729 0.271
Na2 0.250 0.271 0.729
Br1 0.042 0.556 0.688
Br2 0.659 0.041 0.642
Br3 0.542 0.688 0.556
Br4 0.335 0.244 0.998
Br5 0.835 0.998 0.244
Br6 0.341 0.959 0.358
Br7 0.958 0.444 0.312
Br8 0.159 0.642 0.041
Br9 0.458 0.312 0.444
Br10 0.165 0.002 0.756
Br11 0.841 0.358 0.959
Br12 0.665 0.756 0.002
Tl1 0.250 0.930 0.070
Tl2 0.750 0.070 0.930